Entry from the Alexandria database: a relaxed MgHPd2Pt crystal (GGA-PBE).

The magnetization comes out at 0.00 μB per formula unit. The energy above the most stable polymorph in this dataset comes out at 0.000 eV/atom.

It has space group P4/mmm (No. 123), with a = 4.0670 Å, b = 4.0670 Å, c = 3.9500 Å, α = 90.00°, β = 90.00° and γ = 90.00°. The inequivalent atoms are Mg at (0.0000, 0.0000, 0.0000), H at (0.5000, 0.5000, 0.5000), Pd at (0.0000, 0.5000, 0.5000) and Pt at (0.5000, 0.5000, 0.0000).

---

Entry from the Alexandria database: a relaxed RbHgRuBr6 crystal (GGA-PBE).

For the energy relative to the elements, uncorrected, the calculation gives -0.6362 eV/atom. The magnetization comes out at 1.01 μB per formula unit.

It has space group P312 (No. 149), with a = 7.1358 Å, b = 7.1358 Å, c = 7.4978 Å, α = 90.00°, β = 90.00° and γ = 120.00°. The inequivalent atoms are Rb at (0.0000, 0.0000, 0.0000), Hg at (0.6667, 0.3333, 0.5000), Ru at (0.3333, 0.6667, 0.5000) and Br at (0.0392, 0.3860, 0.6943).

---

Entry from the Alexandria database: a relaxed Cd2Pb2O5 crystal (GGA-PBE).

For the energy relative to the elements, uncorrected, the calculation gives -0.9735 eV/atom. The magnetization comes out at 0.00 μB per formula unit.

It has space group Ima2 (No. 46), with a = 16.3871 Å, b = 5.8172 Å, c = 5.9887 Å, α = 90.00°, β = 90.00° and γ = 90.00°. The inequivalent atoms are Cd at (0.1223, 0.0089, 0.0000), Pb at (0.0000, 0.0000, 0.4550), Pb at (0.2500, 0.5045, 0.0322), O at (0.0549, 0.2229, 0.7141), O at (0.1185, 0.6480, 0.8698) and O at (0.2500, 0.1326, 0.9123).

---

Entry from the Alexandria database: a relaxed Rb2PdWBr6 crystal (GGA-PBE).

For the energy relative to the elements, uncorrected, the calculation gives -0.7552 eV/atom. The magnetization comes out at 2.05 μB per formula unit.

It has space group I4/mmm (No. 139), with a = 7.5293 Å, b = 7.5293 Å, c = 11.0713 Å, α = 90.00°, β = 90.00° and γ = 90.00°. The inequivalent atoms are Rb at (0.0000, 0.5000, 0.2500), Pd at (0.0000, 0.0000, 0.0000), W at (0.0000, 0.0000, 0.5000), Br at (0.0000, 0.0000, 0.2654) and Br at (0.2438, 0.2438, 0.5000).

---

Entry from the Alexandria database: a relaxed BRh3Pb crystal (GGA-PBE).

The magnetization comes out at 0.00 μB per formula unit. For the energy relative to the elements, the calculation gives -0.63 eV per formula unit. The energy above the most stable polymorph in this dataset comes out at 0.098 eV/atom.

It has space group C2/c (No. 15), with a = 9.6884 Å, b = 12.7121 Å, c = 5.0658 Å, α = 90.00°, β = 93.53° and γ = 90.00°. The inequivalent atoms are B at (0.0000, 0.0597, 0.2500), B at (0.0000, 0.1795, 0.7500), Rh at (0.1249, 0.1786, 0.1098), Rh at (0.1295, 0.2871, 0.5872), Rh at (0.1306, 0.0586, 0.6033) and Pb at (0.1319, 0.4044, 0.0623).

---

Entry from the Alexandria database: a relaxed Fe2TcMo2 crystal (GGA-PBE).

The magnetization comes out at 1.06 μB per formula unit. For the energy relative to the elements, the calculation gives 3.04 eV per formula unit. The energy above the most stable polymorph in this dataset comes out at 0.422 eV/atom.

It has space group I4/mmm (No. 139), with a = 3.8401 Å, b = 3.8401 Å, c = 9.9602 Å, α = 90.00°, β = 90.00° and γ = 90.00°. The inequivalent atoms are Fe at (0.0000, 0.0000, 0.1032), Tc at (0.0000, 0.0000, 0.5000) and Mo at (0.0000, 0.5000, 0.2500).

---

Entry from the Alexandria database: a relaxed TlNiPbCl6 crystal (GGA-PBE).

For the energy relative to the elements, uncorrected, the calculation gives -0.7905 eV/atom. The magnetization comes out at 0.96 μB per formula unit.

It has space group C2 (No. 5), with a = 7.0300 Å, b = 12.0470 Å, c = 6.5701 Å, α = 90.00°, β = 91.26° and γ = 90.00°. The inequivalent atoms are Tl at (0.0000, 0.0000, 0.0000), Ni at (0.0000, 0.3415, 0.5000), Pb at (0.0000, 0.6829, 0.5000), Cl at (0.1335, 0.4726, 0.7021), Cl at (0.1357, 0.2100, 0.7006) and Cl at (0.2156, 0.8380, 0.7282).

---

Entry from the Alexandria database: a relaxed Tm5SbPd2 crystal (GGA-PBE).

For the energy relative to the elements, uncorrected, the calculation gives -0.7884 eV/atom. The magnetization comes out at 0.00 μB per formula unit.

It has space group I4/mcm (No. 140), with a = 7.6326 Å, b = 7.6326 Å, c = 13.5730 Å, α = 90.00°, β = 90.00° and γ = 90.00°. The inequivalent atoms are Tm at (0.0000, 0.0000, 0.0000), Tm at (0.1561, 0.3439, 0.1430), Sb at (0.0000, 0.0000, 0.2500) and Pd at (0.1372, 0.3628, 0.5000).

---

Entry from the Alexandria database: a relaxed CdPt6Rh crystal (GGA-PBE).

The magnetization comes out at 1.67 μB per formula unit. For the energy relative to the elements, the calculation gives -0.75 eV per formula unit.

It has space group P4/mmm (No. 123), with a = 3.9802 Å, b = 3.9802 Å, c = 8.0423 Å, α = 90.00°, β = 90.00° and γ = 90.00°. The inequivalent atoms are Cd at (0.0000, 0.0000, 0.0000), Pt at (0.0000, 0.5000, 0.2579), Pt at (0.5000, 0.5000, 0.0000), Pt at (0.5000, 0.5000, 0.5000) and Rh at (0.0000, 0.0000, 0.5000).

---

Entry from the Alexandria database: a relaxed P2IrPt crystal (GGA-PBE).

The magnetization comes out at 0.00 μB per formula unit. For the energy relative to the elements, the calculation gives 0.88 eV per formula unit. The energy above the most stable polymorph in this dataset comes out at 0.608 eV/atom.

It has space group I-4m2 (No. 119), with a = 3.6495 Å, b = 3.6495 Å, c = 8.6233 Å, α = 90.00°, β = 90.00° and γ = 90.00°. The inequivalent atoms are P at (0.0000, 0.0000, 0.0000), P at (0.0000, 0.5000, 0.2500), Ir at (0.0000, 0.0000, 0.5000) and Pt at (0.0000, 0.5000, 0.7500).

---

Entry from the Alexandria database: a relaxed V2GaSe6 crystal (GGA-PBE).

For the energy relative to the elements, uncorrected, the calculation gives -0.3955 eV/atom. The magnetization comes out at 1.27 μB per formula unit.

It has space group P4_2/mnm (No. 136), with a = 6.0477 Å, b = 6.0477 Å, c = 10.8639 Å, α = 90.00°, β = 90.00° and γ = 90.00°. The inequivalent atoms are V at (0.0000, 0.0000, 0.1540), Ga at (0.0000, 0.0000, 0.5000), Se at (0.1990, 0.1990, 0.3240) and Se at (0.2002, 0.2002, 0.0000).

---

Entry from the Alexandria database: a relaxed Ba3CdAg2 crystal (GGA-PBE).

The magnetization comes out at 0.00 μB per formula unit. For the energy relative to the elements, the calculation gives -1.53 eV per formula unit. The energy above the most stable polymorph in this dataset comes out at 0.000 eV/atom.

It has space group P4/mmm (No. 123), with a = 4.1311 Å, b = 4.1311 Å, c = 12.7390 Å, α = 90.00°, β = 90.00° and γ = 90.00°. The inequivalent atoms are Ba at (0.0000, 0.0000, 0.0000), Ba at (0.0000, 0.0000, 0.3245), Cd at (0.5000, 0.5000, 0.5000) and Ag at (0.5000, 0.5000, 0.1636).

---

Number 1: total DFT energy (no corrections) -4.732 eV/atom. Number 2: total DFT energy (no corrections) -2.923 eV/atom. Number 3: total DFT energy (no corrections) -4.755 eV/atom. Number 4: total DFT energy (no corrections) -3.767 eV/atom. Number 5: total DFT energy (no corrections) -6.613 eV/atom. Number 6: total DFT energy (no corrections) -9.184 eV/atom. Number 7: total DFT energy (no corrections) -3.339 eV/atom. Number 8: total DFT energy (no corrections) -5.397 eV/atom. Number 9: total DFT energy (no corrections) -5.657 eV/atom. Number 10: total DFT energy (no corrections) -6.210 eV/atom. Number 11: total DFT energy (no corrections) -5.081 eV/atom. Number 12: total DFT energy (no corrections) -2.320 eV/atom.